1.
Compound: TiAg2Hg
Source: Alexandria
Functional: GGA-PBE
Structure: optimized geometry

Cell: 7.671 7.671 6.117 Å, 51.17 51.17 90.00°
Atoms (fractional coordinates):
Hg  0.000  0.000  0.000
Hg  0.750  0.250  0.500
Ag  0.617  0.125  0.250
Ag  0.133  0.625  0.250
Ag  0.375  0.383  0.750
Ag  0.875  0.867  0.750
Ti  0.500  0.500  0.000
Ti  0.250  0.750  0.500

Computed properties:
ρ in g cm⁻³: 9.263
D(E_F) in states/eV per cell: 7.2
Energy of formation in meV per atom: 411.6

***

2.
Compound: Sm5Sc3S8
Source: Alexandria
Functional: GGA-PBE
Structure: optimized geometry

Cell: 7.760 7.760 7.831 Å, 60.30 60.30 60.00°
Atoms (fractional coordinates):
Sm  0.500  0.000  0.000
Sm  0.500  0.500  0.000
Sm  0.000  0.000  0.000
Sm  0.000  0.500  0.000
Sm  0.500  0.500  0.500
Sc  0.500  0.000  0.500
Sc  0.000  0.000  0.500
Sc  0.000  0.500  0.500
S  0.250  0.250  0.732
S  0.250  0.768  0.732
S  0.768  0.250  0.732
S  0.759  0.759  0.724
S  0.750  0.750  0.268
S  0.750  0.232  0.268
S  0.232  0.750  0.268
S  0.241  0.241  0.276

Computed properties:
ρ in g cm⁻³: 5.668
D(E_F) in states/eV per cell: 9.5
Total DFT energy (no corrections) in eV/atom: -6.6594

***

3.
Compound: Mn2Cu3Pd7
Source: Alexandria
Functional: GGA-PBE
Structure: optimized geometry

Cell: 3.788 4.063 12.600 Å, 99.28 90.00 90.00°
Atoms (fractional coordinates):
Mn  0.000  0.847  0.693
Mn  0.000  0.153  0.307
Cu  0.500  0.500  0.000
Cu  0.500  0.650  0.300
Cu  0.500  0.350  0.700
Pd  0.000  0.421  0.843
Pd  0.000  0.717  0.434
Pd  0.000  0.000  0.000
Pd  0.000  0.579  0.157
Pd  0.500  0.079  0.159
Pd  0.500  0.921  0.841
Pd  0.000  0.283  0.566

Computed properties:
ρ in g cm⁻³: 9.072
D(E_F) in states/eV per cell: 8.0
Energy of formation in meV per atom: 37.9

***

4.
Compound: SiSb2Pt
Source: Alexandria
Functional: GGA-PBE
Structure: optimized geometry

Cell: 3.326 3.326 7.480 Å, 90.00 90.00 90.00°
Atoms (fractional coordinates):
Pt  0.500  0.500  0.750
Sb  0.000  0.000  0.986
Sb  0.000  0.000  0.514
Si  0.500  0.500  0.250

Computed properties:
ρ in g cm⁻³: 9.368
D(E_F) in states/eV per cell: 1.7
Total DFT energy (no corrections) in eV/atom: -4.7150

***

- Among the records above, which one has the lowest ρ?
  Sm5Sc3S8

***

Repeat the second record exactly.
Compound: Sm5Sc3S8
Source: Alexandria
Functional: GGA-PBE
Structure: optimized geometry

Cell: 7.760 7.760 7.831 Å, 60.30 60.30 60.00°
Atoms (fractional coordinates):
Sm  0.500  0.000  0.000
Sm  0.500  0.500  0.000
Sm  0.000  0.000  0.000
Sm  0.000  0.500  0.000
Sm  0.500  0.500  0.500
Sc  0.500  0.000  0.500
Sc  0.000  0.000  0.500
Sc  0.000  0.500  0.500
S  0.250  0.250  0.732
S  0.250  0.768  0.732
S  0.768  0.250  0.732
S  0.759  0.759  0.724
S  0.750  0.750  0.268
S  0.750  0.232  0.268
S  0.232  0.750  0.268
S  0.241  0.241  0.276

Computed properties:
ρ in g cm⁻³: 5.668
D(E_F) in states/eV per cell: 9.5
Total DFT energy (no corrections) in eV/atom: -6.6594

***

- Which value of D(E_F) does entry 2 give?
  9.5 states/eV per cell